## CaYNO2 (PBE)

Data for a relaxed CaYNO2 crystal.

Calculated values
Symmetry: P4/mmm (123)
Formation energy without anion corrections: -457 kJ/mol of formula units
Electronic total energy: -6.288 eV per atom
DOS at the Fermi energy: 0.5679 states/eV per atom
Theoretical density: 3.94 g/cm³

Lattice parameters (Å, degrees): 4.2152 4.2152 4.1485 90.00 90.00 90.00
With the nearest neighbours (Å) after each atom.
Fractional coordinates of all 5 atoms:
Ca 0.0000 0.0000 0.0000  2 N 2.07, 4 O 2.11
Y 0.5000 0.5000 0.5000  8 O 2.96, 4 N 2.98
N 0.0000 0.0000 0.5000  2 Ca 2.07
O 0.0000 0.5000 0.0000  2 Ca 2.11
O 0.5000 0.0000 0.0000  2 Ca 2.11